Compound: CdReRh2
Source: Alexandria
Functional: GGA-PBE
Structure: relaxed

Summary:
**Density**: 13.38 g/cm3
**Raw total energy**: -27.31 eV for the cell shown
**Space group**: P4mm
**N(E_F)**: 1.53 states/eV per atom
**Energy relative to the elements**: 0.189 eV/atom
**Size of the total moment**: 0.00 μB per atom

Lattice parameters (Å, degrees): 2.770 2.770 8.160 90.00 90.00 90.00
Sites, in units of the cell vectors:
Cd (0.000, 0.000, 0.000)
Re (0.500, 0.500, 0.280)
Rh (0.000, 0.000, 0.502)
Rh (0.500, 0.500, 0.742)

Compound: Cd4ReRh
Source: Alexandria
Functional: GGA-PBE
Structure: relaxed

Summary:
**Density**: 10.73 g/cm3
**Raw total energy**: -18.90 eV for the cell shown
**Space group**: F-43m
**N(E_F)**: 0.68 states/eV per atom
**Energy relative to the elements**: 0.761 eV/atom
**Size of the total moment**: 0.54 μB per atom

Lattice parameters (Å, degrees): 5.448 5.448 5.448 60.00 60.00 60.00
Sites, in units of the cell vectors:
Cd (0.125, 0.125, 0.125)
Cd (0.125, 0.125, 0.625)
Cd (0.125, 0.625, 0.125)
Cd (0.625, 0.125, 0.125)
Re (0.750, 0.750, 0.750)
Rh (0.500, 0.500, 0.500)

Compound: CdRe2Rh
Source: Alexandria
Functional: GGA-PBE
Structure: relaxed

Summary:
**Density**: 15.48 g/cm3
**Raw total energy**: -64.03 eV for the cell shown
**Space group**: C2/m
**N(E_F)**: 0.70 states/eV per atom
**Energy relative to the elements**: 0.287 eV/atom
**Size of the total moment**: 0.00 μB per atom

Lattice parameters (Å, degrees): 9.721 2.790 4.744 90.00 101.44 90.00
Sites, in units of the cell vectors:
Cd (0.000, 0.000, 0.000)
Cd (0.500, 0.500, 0.000)
Re (0.236, 0.000, 0.736)
Re (0.264, 0.500, 0.264)
Re (0.736, 0.500, 0.736)
Re (0.764, 0.000, 0.264)
Rh (0.000, 0.500, 0.500)
Rh (0.500, 0.000, 0.500)

Compound: CdReRh2
Source: Alexandria
Functional: GGA-PBE
Structure: relaxed

Summary:
**Density**: 13.52 g/cm3
**Raw total energy**: -54.40 eV for the cell shown
**Space group**: I4/mmm
**N(E_F)**: 0.97 states/eV per atom
**Energy relative to the elements**: 0.216 eV/atom
**Size of the total moment**: 0.26 μB per atom

Lattice parameters (Å, degrees): 4.045 4.045 7.574 90.00 90.00 90.00
Sites, in units of the cell vectors:
Cd (0.000, 0.000, 0.000)
Cd (0.500, 0.500, 0.500)
Re (0.000, 0.000, 0.500)
Re (0.500, 0.500, 0.000)
Rh (0.000, 0.500, 0.250)
Rh (0.000, 0.500, 0.750)
Rh (0.500, 0.000, 0.250)
Rh (0.500, 0.000, 0.750)

Compound: Cd2ReRh
Source: Alexandria
Functional: GGA-PBE
Structure: relaxed

Summary:
**Density**: 12.44 g/cm3
**Raw total energy**: -19.77 eV for the cell shown
**Space group**: Pmmm
**N(E_F)**: 0.71 states/eV per atom
**Energy relative to the elements**: 0.465 eV/atom
**Energy relative to the lowest polymorph listed for this composition**: 0.380 eV per atom
**Size of the total moment**: 0.22 μB per atom

Lattice parameters (Å, degrees): 2.877 4.878 4.890 90.00 90.00 90.00
Sites, in units of the cell vectors:
Cd (0.000, 0.000, 0.000)
Cd (0.500, 0.500, 0.000)
Re (0.000, 0.500, 0.500)
Rh (0.500, 0.000, 0.500)

Compound: Cd2ReRh
Source: Alexandria
Functional: GGA-PBE
Structure: relaxed

Summary:
**Density**: 11.88 g/cm3
**Raw total energy**: -40.18 eV for the cell shown
**Space group**: Imm2
**N(E_F)**: 0.86 states/eV per atom
**Energy relative to the elements**: 0.385 eV/atom
**Energy relative to the lowest polymorph listed for this composition**: 0.299 eV per atom
**Size of the total moment**: 0.12 μB per atom

Lattice parameters (Å, degrees): 2.825 4.900 10.383 90.00 90.00 90.00
Sites, in units of the cell vectors:
Cd (0.000, 0.000, 0.000)
Cd (0.000, 0.500, 0.210)
Cd (0.500, 0.000, 0.710)
Cd (0.500, 0.500, 0.500)
Re (0.000, 0.000, 0.453)
Re (0.500, 0.500, 0.953)
Rh (0.000, 0.500, 0.750)
Rh (0.500, 0.000, 0.250)

Compound: Cd2ReRh
Source: Alexandria
Functional: GGA-PBE
Structure: relaxed

Summary:
**Density**: 12.44 g/cm3
**Raw total energy**: -39.03 eV for the cell shown
**Space group**: I-4m2
**N(E_F)**: 0.81 states/eV per atom
**Energy relative to the elements**: 0.528 eV/atom
**Energy relative to the lowest polymorph listed for this composition**: 0.443 eV per atom
**Size of the total moment**: 0.41 μB per atom

Lattice parameters (Å, degrees): 4.240 4.240 7.632 90.00 90.00 90.00
Sites, in units of the cell vectors:
Cd (0.000, 0.000, 0.000)
Cd (0.000, 0.500, 0.250)
Cd (0.500, 0.000, 0.750)
Cd (0.500, 0.500, 0.500)
Re (0.000, 0.500, 0.750)
Re (0.500, 0.000, 0.250)
Rh (0.000, 0.000, 0.500)
Rh (0.500, 0.500, 0.000)

Compound: CdReRh2
Source: Alexandria
Functional: GGA-PBE
Structure: relaxed

Summary:
**Density**: 13.30 g/cm3
**Raw total energy**: -27.33 eV for the cell shown
**Space group**: Pmm2
**N(E_F)**: 0.96 states/eV per atom
**Energy relative to the elements**: 0.184 eV/atom
**Size of the total moment**: 0.00 μB per atom

Lattice parameters (Å, degrees): 2.773 4.069 5.582 90.00 90.00 90.00
Sites, in units of the cell vectors:
Cd (0.000, 0.000, 0.000)
Re (0.500, 0.500, 0.306)
Rh (0.000, 0.000, 0.492)
Rh (0.500, 0.500, 0.761)

Compound: Cd2ReRh
Source: Alexandria
Functional: GGA-PBE
Structure: relaxed

Summary:
**Density**: 12.22 g/cm3
**Raw total energy**: -21.29 eV for the cell shown
**Space group**: P4mm
**N(E_F)**: 0.54 states/eV per atom
**Energy relative to the elements**: 0.086 eV/atom
**Energy relative to the lowest polymorph listed for this composition**: 0.000 eV per atom
**Size of the total moment**: 0.00 μB per atom

Lattice parameters (Å, degrees): 2.875 2.875 8.454 90.00 90.00 90.00
Sites, in units of the cell vectors:
Cd (0.000, 0.000, 0.000)
Cd (0.500, 0.500, 0.300)
Re (0.000, 0.000, 0.556)
Rh (0.500, 0.500, 0.751)

Compound: CdRe2Rh
Source: Alexandria
Functional: GGA-PBE
Structure: relaxed

Summary:
**Density**: 15.27 g/cm3
**Raw total energy**: -62.94 eV for the cell shown
**Space group**: Imm2
**N(E_F)**: 0.87 states/eV per atom
**Energy relative to the elements**: 0.423 eV/atom
**Size of the total moment**: 0.00 μB per atom

Lattice parameters (Å, degrees): 3.936 4.216 7.704 90.00 90.00 90.00
Sites, in units of the cell vectors:
Cd (0.000, 0.000, 0.000)
Cd (0.500, 0.500, 0.500)
Re (0.000, 0.000, 0.531)
Re (0.000, 0.500, 0.241)
Re (0.500, 0.000, 0.741)
Re (0.500, 0.500, 0.031)
Rh (0.000, 0.500, 0.753)
Rh (0.500, 0.000, 0.253)

Compound: Cd3ReRh
Source: Alexandria
Functional: GGA-PBE
Structure: relaxed

Summary:
**Density**: 7.49 g/cm3
**Raw total energy**: -14.64 eV for the cell shown
**Space group**: Pm-3m
**N(E_F)**: 1.20 states/eV per atom
**Energy relative to the elements**: 1.581 eV/atom
**Energy relative to the lowest polymorph listed for this composition**: 0.226 eV per atom
**Size of the total moment**: 0.57 μB per atom

Lattice parameters (Å, degrees): 5.178 5.178 5.178 90.00 90.00 90.00
Sites, in units of the cell vectors:
Cd (0.000, 0.000, 0.500)
Cd (0.000, 0.500, 0.000)
Cd (0.500, 0.000, 0.000)
Re (0.000, 0.000, 0.000)
Rh (0.500, 0.500, 0.500)

Compound: CdRe2Rh
Source: Alexandria
Functional: GGA-PBE
Structure: relaxed

Summary:
**Density**: 15.21 g/cm3
**Raw total energy**: -63.89 eV for the cell shown
**Space group**: Cmm2
**N(E_F)**: 0.79 states/eV per atom
**Energy relative to the elements**: 0.304 eV/atom
**Size of the total moment**: 0.00 μB per atom

Lattice parameters (Å, degrees): 2.922 4.666 9.413 90.00 90.00 90.00
Sites, in units of the cell vectors:
Cd (0.000, 0.000, 0.000)
Cd (0.500, 0.500, 0.000)
Re (0.000, 0.000, 0.506)
Re (0.000, 0.500, 0.275)
Re (0.500, 0.000, 0.275)
Re (0.500, 0.500, 0.506)
Rh (0.000, 0.500, 0.745)
Rh (0.500, 0.000, 0.745)

Compound: CdReRh2
Source: Alexandria
Functional: GGA-PBE
Structure: relaxed

Summary:
**Density**: 13.54 g/cm3
**Raw total energy**: -54.93 eV for the cell shown
**Space group**: Cmmm
**N(E_F)**: 0.89 states/eV per atom
**Energy relative to the elements**: 0.150 eV/atom
**Size of the total moment**: 0.00 μB per atom

Lattice parameters (Å, degrees): 5.784 7.652 2.794 90.00 90.00 90.00
Sites, in units of the cell vectors:
Cd (0.000, 0.000, 0.000)
Cd (0.500, 0.500, 0.000)
Re (0.000, 0.500, 0.000)
Re (0.500, 0.000, 0.000)
Rh (0.250, 0.250, 0.500)
Rh (0.250, 0.750, 0.500)
Rh (0.750, 0.250, 0.500)
Rh (0.750, 0.750, 0.500)

Compound: CdRe2Rh
Source: Alexandria
Functional: GGA-PBE
Structure: relaxed

Summary:
**Density**: 15.32 g/cm3
**Raw total energy**: -32.59 eV for the cell shown
**Space group**: P4mm
**N(E_F)**: 0.78 states/eV per atom
**Energy relative to the elements**: 0.144 eV/atom
**Size of the total moment**: 0.00 μB per atom

Lattice parameters (Å, degrees): 2.836 2.836 7.923 90.00 90.00 90.00
Sites, in units of the cell vectors:
Cd (0.000, 0.000, 0.000)
Re (0.000, 0.000, 0.508)
Re (0.500, 0.500, 0.282)
Rh (0.500, 0.500, 0.736)

Compound: CdRe2Rh
Source: Alexandria
Functional: GGA-PBE
Structure: relaxed

Summary:
**Density**: 15.52 g/cm3
**Raw total energy**: -31.63 eV for the cell shown
**Space group**: P2/m
**N(E_F)**: 0.82 states/eV per atom
**Energy relative to the elements**: 0.383 eV/atom
**Size of the total moment**: 0.00 μB per atom

Lattice parameters (Å, degrees): 4.727 2.802 4.972 90.00 107.34 90.00
Sites, in units of the cell vectors:
Cd (0.000, 0.000, 0.000)
Re (0.000, 0.500, 0.500)
Re (0.500, 0.000, 0.500)
Rh (0.500, 0.500, 0.000)

Compound: CdReRh2
Source: Alexandria
Functional: GGA-PBE
Structure: relaxed

Summary:
**Density**: 13.44 g/cm3
**Raw total energy**: -28.62 eV for the cell shown
**Space group**: P4/mmm
**N(E_F)**: 0.80 states/eV per atom
**Energy relative to the elements**: -0.139 eV/atom
**Size of the total moment**: 0.00 μB per atom

Lattice parameters (Å, degrees): 2.818 2.818 7.847 90.00 90.00 90.00
Sites, in units of the cell vectors:
Cd (0.000, 0.000, 0.000)
Re (0.000, 0.000, 0.500)
Rh (0.500, 0.500, 0.272)
Rh (0.500, 0.500, 0.728)

Compound: CdReRh2
Source: Alexandria
Functional: GGA-PBE
Structure: relaxed

Summary:
**Density**: 13.38 g/cm3
**Raw total energy**: -27.97 eV for the cell shown
**Space group**: Pmmm
**N(E_F)**: 0.75 states/eV per atom
**Energy relative to the elements**: 0.024 eV/atom
**Size of the total moment**: 0.00 μB per atom

Lattice parameters (Å, degrees): 2.804 3.778 5.909 90.00 90.00 90.00
Sites, in units of the cell vectors:
Cd (0.000, 0.000, 0.000)
Re (0.000, 0.000, 0.500)
Rh (0.500, 0.500, 0.275)
Rh (0.500, 0.500, 0.725)

Compound: Cd2ReRh
Source: Alexandria
Functional: GGA-PBE
Structure: relaxed

Summary:
**Density**: 12.49 g/cm3
**Raw total energy**: -39.62 eV for the cell shown
**Space group**: Immm
**N(E_F)**: 0.88 states/eV per atom
**Energy relative to the elements**: 0.456 eV/atom
**Energy relative to the lowest polymorph listed for this composition**: 0.370 eV per atom
**Size of the total moment**: 0.09 μB per atom

Lattice parameters (Å, degrees): 2.871 4.860 9.795 90.00 90.00 90.00
Sites, in units of the cell vectors:
Cd (0.000, 0.000, 0.242)
Cd (0.000, 0.000, 0.758)
Cd (0.500, 0.500, 0.258)
Cd (0.500, 0.500, 0.742)
Re (0.000, 0.500, 0.000)
Re (0.500, 0.000, 0.500)
Rh (0.000, 0.500, 0.500)
Rh (0.500, 0.000, 0.000)

Compound: CdReRh2
Source: Alexandria
Functional: GGA-PBE
Structure: relaxed

Summary:
**Density**: 13.29 g/cm3
**Raw total energy**: -26.59 eV for the cell shown
**Space group**: P4/mmm
**N(E_F)**: 1.10 states/eV per atom
**Energy relative to the elements**: 0.368 eV/atom
**Size of the total moment**: 0.53 μB per atom

Lattice parameters (Å, degrees): 4.141 4.141 3.675 90.00 90.00 90.00
Sites, in units of the cell vectors:
Cd (0.000, 0.000, 0.000)
Re (0.500, 0.500, 0.000)
Rh (0.000, 0.500, 0.500)
Rh (0.500, 0.000, 0.500)

Compound: Cd2ReRh
Source: Alexandria
Functional: GGA-PBE
Structure: relaxed

Summary:
**Density**: 12.61 g/cm3
**Raw total energy**: -39.93 eV for the cell shown
**Space group**: C2/m
**N(E_F)**: 1.01 states/eV per atom
**Energy relative to the elements**: 0.416 eV/atom
**Energy relative to the lowest polymorph listed for this composition**: 0.331 eV per atom
**Size of the total moment**: 0.00 μB per atom

Lattice parameters (Å, degrees): 9.616 2.834 5.039 90.00 99.69 90.00
Sites, in units of the cell vectors:
Cd (0.248, 0.000, 0.247)
Cd (0.252, 0.500, 0.753)
Cd (0.748, 0.500, 0.247)
Cd (0.752, 0.000, 0.753)
Re (0.000, 0.000, 0.500)
Re (0.500, 0.500, 0.500)
Rh (0.000, 0.500, 0.000)
Rh (0.500, 0.000, 0.000)